The following is a PBE calculation of an optimized crystal structure of Ho2CoC2, from Alexandria via LeMat-Bulk.

Lattice parameters (Å, degrees): 6.2271 4.9954 9.6270 90.00 90.00 90.00
Space group Pnma (No. 62)
Unique sites:
1 Ho 0.0177 0.2500 0.2179 [4 per cell]
2 Ho 0.1817 0.2500 0.5550 [4 per cell]
3 Co 0.2308 0.2500 0.8562 [4 per cell]
4 C 0.0339 0.7500 0.2384 [4 per cell]
5 C 0.1872 0.7500 0.5459 [4 per cell]

Computed properties:
M_tot   0.00 μB/f.u.
E above lowest polymorph   0.000 kcal/mol of atoms
Formation energy from the elements   -21.3 kJ per mole of atoms